The following is a DFT calculation (PBE) of an optimized crystal structure of MnZn2Si.

Its density of states at the Fermi level is 0.5382 states/eV/atom. The crystal system is orthorhombic. The uncorrected formation energy is 0.10 eV per atom. For the total energy, the calculation gives -33.51 eV/cell.

The structure belongs to space group Cmmm (No. 65); the cell edges are 5.0299, 7.8692 and 2.8193 Å and the angles 90.00°, 90.00° and 90.00°. Symmetry generates all atoms from Mn at (0.0000, 0.0000, 0.0000), Zn at (0.2500, 0.2500, 0.5000) and Si at (0.0000, 0.5000, 0.0000).